<P>
## BaLiAg (SCAN)

Data for a PBEsol-optimized structure of BaLiAg.

Output
* DOS at the Fermi energy: 3.523 states/eV/cell

Cell lengths 3.798, 3.798, 11.394 Å; angles 90.00, 90.00, 90.00 degrees
Space group I4mm (No. 107)
Inequivalent atoms, fractional coordinates:
Ba  0.000  0.000  0.000 [2 per cell]
Li  0.000  0.000  0.278 [2 per cell]
Ag  0.000  0.000  0.695 [2 per cell]

<Q>
## BaLiAg (SCAN)

Data for a PBEsol-optimized structure of BaLiAg.

Output
* DOS at the Fermi energy: 1.197 states/eV/cell

Cell lengths 4.7194, 4.7194, 4.6357 Å; angles 90.00, 90.00, 120.00 degrees
Space group P-6m2 (No. 187)
Inequivalent atoms, fractional coordinates:
Ba  0.0000  0.0000  0.0000 [1 per cell]
Li  0.3333  0.6667  0.5000 [1 per cell]
Ag  0.6667  0.3333  0.5000 [1 per cell]

If we sort the structures by their calculated energies, the order from most to least stable is <Q>, <P>.

<P>
## BaAg2Os (SCAN)

Data for a PBEsol-optimized structure of BaAg2Os.

Output
* DOS at the Fermi energy: 8.630 states/eV/cell

Cell lengths 2.9891, 2.9891, 30.8437 Å; angles 90.00, 90.00, 120.00 degrees
Space group R-3m (No. 166, hexagonal axes)
Inequivalent atoms, fractional coordinates:
Ba  0.0000  0.0000  0.0000 [3 per cell]
Ag  0.0000  0.0000  0.2374 [6 per cell]
Os  0.0000  0.0000  0.5000 [3 per cell]

<Q>
## BaAg2Os (SCAN)

Data for a PBEsol-optimized structure of BaAg2Os.

Output
* DOS at the Fermi energy: 5.142 states/eV/cell

Cell lengths 9.253, 2.929, 6.459 Å; angles 90.00, 96.58, 90.00 degrees
Space group Cm (No. 8)
Inequivalent atoms, fractional coordinates:
Ba  0.000  0.000  0.000 [2 per cell]
Ag  0.235  0.000  0.663 [2 per cell]
Ag  0.497  0.000  0.472 [2 per cell]
Os  0.259  0.500  0.311 [2 per cell]

If we sort the structures by their calculated energies, the order from most to least stable is <Q>, <P>.